[1]
First-principles (PBE) data for Ag2TePd2O6 after structural relaxation, as listed in Alexandria via LeMat-Bulk.

abc: 5.605 5.605 6.740
angles: 106.78 106.78 117.52
Fractional coordinates of all 11 atoms:
O  0.145  0.439  0.663
O  0.069  0.069  0.248
O  0.439  0.145  0.663
O  0.855  0.561  0.337
O  0.561  0.855  0.337
O  0.931  0.931  0.752
Ag  0.801  0.199  0.000
Ag  0.199  0.801  0.000
Te  0.000  0.000  0.500
Pd  0.643  0.357  0.500
Pd  0.357  0.643  0.500

Results
Total energy (eV for the cell shown): -52.8
Volume (Å³ per cell): 156.02
D(E_F) (states/eV/atom): 0.48
SG: C2/m (12)

[2]
First-principles (PBE) data for ZrTcNi2 after structural relaxation, as listed in Alexandria via LeMat-Bulk.

abc: 4.555 5.421 5.469
angles: 61.20 81.56 81.11
Fractional coordinates of all 8 atoms:
Tc  0.323  0.115  0.445
Tc  0.801  0.325  0.227
Ni  0.878  0.300  0.685
Ni  0.314  0.620  0.979
Ni  0.396  0.600  0.457
Ni  0.877  0.816  0.181
Zr  0.848  0.767  0.692
Zr  0.364  0.116  0.957

Results
Formation energy from the elements (meV/atom): -197
Total energy (eV for the cell shown): -62.5
Volume (Å³ per cell): 116.51
Energy relative to the lowest polymorph listed for this composition (meV per atom): 66.6
D(E_F) (states/eV/atom): 0.87
SG: P1 (1)

volume of number 2 (ZrTcNi2)?
116.51 Å³ per cell

total energy of number 2 (ZrTcNi2)?
-62.5 eV for the cell shown

Look up the total energy of the first one.
-52.8 eV for the cell shown

Which of these has the highest volume?
Ag2TePd2O6